The following is a DFT calculation (PBE-GGA) of Pr12Nd6Mg after structural relaxation.

Energy relative to the elements ... 0.120 eV per atom
Energy relative to the lowest polymorph listed for this composition ... 0.013 eV per atom
SG ... R-3m

Cell: 8.9405 8.9405 8.9405 Å, 97.77 97.77 97.77°
With the nearest neighbours (Å) after each atom.
Element x y z (fractional)
Pr 0.0000 0.2611 0.7389  4 Nd 3.46-3.60, 6 Pr 3.52-3.75, 1 Mg 3.52
Pr 0.0000 0.7389 0.2611  4 Nd 3.46-3.60, 1 Mg 3.52, 6 Pr 3.52-3.75
Pr 0.1709 0.5821 0.5821  5 Pr 3.26-3.61
Pr 0.2611 0.0000 0.7389  4 Nd 3.46-3.60, 6 Pr 3.52-3.75, 1 Mg 3.52
Pr 0.2611 0.7389 0.0000  4 Nd 3.46-3.60, 6 Pr 3.52-3.75, 1 Mg 3.52
Pr 0.4179 0.4179 0.8291  5 Pr 3.26-3.61
Pr 0.4179 0.8291 0.4179  5 Pr 3.26-3.61
Pr 0.5821 0.1709 0.5821  5 Pr 3.26-3.61
Pr 0.5821 0.5821 0.1709  5 Pr 3.26-3.61
Pr 0.7389 0.0000 0.2611  4 Nd 3.46-3.60, 6 Pr 3.52-3.75, 1 Mg 3.52
Pr 0.7389 0.2611 0.0000  4 Nd 3.46-3.60, 6 Pr 3.52-3.75, 1 Mg 3.52
Pr 0.8291 0.4179 0.4179  5 Pr 3.26-3.61
Nd 0.1362 0.1362 0.4067  4 Pr 3.46-3.60, 2 Nd 3.64, 1 Mg 3.66
Nd 0.1362 0.4067 0.1362  4 Pr 3.46-3.60, 2 Nd 3.64, 1 Mg 3.66
Nd 0.4067 0.1362 0.1362  4 Pr 3.46-3.60, 2 Nd 3.64, 1 Mg 3.66
Nd 0.5933 0.8638 0.8638  4 Pr 3.46-3.60, 2 Nd 3.64, 1 Mg 3.66
Nd 0.8638 0.5933 0.8638  4 Pr 3.46-3.60, 2 Nd 3.64, 1 Mg 3.66
Nd 0.8638 0.8638 0.5933  4 Pr 3.46-3.60, 2 Nd 3.64, 1 Mg 3.66
Mg 0.0000 0.0000 0.0000  6 Pr 3.52, 6 Nd 3.66

***

The following is a DFT calculation (PBE-GGA) of CaTiS2O8 after structural relaxation.

SG ... P-3m1
Formation energy (no corrections) ... -1855 meV/atom

Cell: 5.2015 5.2015 6.8261 Å, 90.00 90.00 120.00°
With the nearest neighbours (Å) after each atom.
Element x y z (fractional)
Ca 0.0000 0.0000 0.0000  6 O 2.52
Ti 0.0000 0.0000 0.5000  6 O 2.15
S 0.3333 0.6667 0.7837  4 O 1.47-1.49
S 0.6667 0.3333 0.2163  4 O 1.47-1.49
O 0.1764 0.3528 0.7131  1 S 1.49
O 0.1764 0.8236 0.7131  1 S 1.49
O 0.3333 0.6667 0.9992  1 S 1.47
O 0.3528 0.1764 0.2869  1 S 1.49
O 0.6472 0.8236 0.7131  1 S 1.49
O 0.6667 0.3333 0.0008  1 S 1.47
O 0.8236 0.1764 0.2869  1 S 1.49
O 0.8236 0.6472 0.2869  1 S 1.49